Computed, not measured: an optimized crystal structure of Nb2AlTc3 at the PBE level of DFT.

The structure in extended XYZ format:
```
6
Lattice="3.186 0.000 0.000 0.000 3.186 0.000 0.000 0.000 9.248" Properties=species:S:1:pos:R:3 pbc="T T T"
Nb 0.000 0.000 1.619
Nb 0.000 0.000 7.629
Al 0.000 0.000 4.624
Tc 1.593 1.593 0.000
Tc 1.593 1.593 3.149
Tc 1.593 1.593 6.099
```

Summary:
- DFT formation energy (eV per atom) = -0.340


Computed, not measured: an optimized crystal structure of K2RbIF at the PBE level of DFT.

The structure in extended XYZ format:
```
5
Lattice="5.381 0.000 0.000 0.000 5.381 0.000 0.000 0.000 7.090" Properties=species:S:1:pos:R:3 pbc="T T T"
K 0.000 2.690 0.000
K 2.690 0.000 0.000
Rb 0.000 0.000 3.545
I 2.690 2.690 3.545
F 0.000 0.000 0.000
```

Summary:
- E above lowest polymorph (eV/atom) = 0.000
- formation energy (no corrections) (kJ per mole of atoms) = -145


Computed, not measured: an optimized crystal structure of Ba2UNO3 at the PBE level of DFT.

The structure in extended XYZ format:
```
7
Lattice="-2.175 2.226 6.853 2.175 -2.226 6.853 2.175 2.226 -6.853" Properties=species:S:1:pos:R:3 pbc="T T T"
Ba 0.000 0.000 2.005
Ba 0.000 0.000 11.701
U 0.000 0.000 6.853
N 0.000 2.226 0.000
O 2.175 0.000 0.000
O 0.000 0.000 4.657
O 0.000 0.000 9.048
```

Summary:
- formation energy (no corrections) (kJ per mole of atoms) = -244


Computed, not measured: an optimized crystal structure of TmTcI at the PBE level of DFT.

The structure in extended XYZ format:
```
6
Lattice="2.054 1.186 12.523 -2.054 1.186 12.523 0.000 -2.372 12.523" Properties=species:S:1:pos:R:3 pbc="T T T"
Tm 0.000 0.000 2.109
Tm 0.000 0.000 35.460
Tc 0.000 0.000 12.660
Tc 0.000 0.000 24.910
I 0.000 0.000 8.347
I 0.000 0.000 29.223
```

Summary:
- formation energy (no corrections) (kJ per mole of atoms) = -67


Computed, not measured: an optimized crystal structure of Mg3NiSn at the PBE level of DFT.

The structure in extended XYZ format:
```
10
Lattice="8.709 0.000 0.000 0.000 3.021 0.000 0.000 0.000 7.660" Properties=species:S:1:pos:R:3 pbc="T T T"
Mg 0.414 0.000 1.686
Mg 2.177 0.000 4.272
Mg 3.940 0.000 1.686
Mg 4.769 0.000 5.975
Mg 6.532 0.000 3.388
Mg 8.295 0.000 5.975
Ni 0.000 1.510 3.830
Ni 4.355 1.510 3.830
Sn 2.177 1.510 7.222
Sn 6.532 1.510 0.439
```

Summary:
- DFT formation energy (eV per atom) = -0.119
- E above lowest polymorph (eV/atom) = 0.000


Computed, not measured: an optimized crystal structure of LaDy2Ho at the PBE level of DFT.

The structure in extended XYZ format:
```
8
Lattice="3.641 -6.297 0.000 3.641 6.297 0.000 0.000 0.000 5.750" Properties=species:S:1:pos:R:3 pbc="T T T"
La 3.641 5.239 4.312
La 3.641 -5.239 1.437
Dy 1.817 2.112 4.312
Dy 1.817 -2.112 1.437
Dy 5.466 2.112 4.312
Dy 5.466 -2.112 1.437
Ho 3.641 1.062 1.437
Ho 3.641 -1.062 4.312
```

Summary:
- DFT formation energy (eV per atom) = 0.022
- E above lowest polymorph (eV/atom) = 0.013


Computed, not measured: an optimized crystal structure of Cu2Ag2SbPd5 at the PBE level of DFT.

The structure in extended XYZ format:
```
20
Lattice="9.256 0.000 0.000 0.000 9.256 0.000 0.000 0.000 3.841" Properties=species:S:1:pos:R:3 pbc="T T T"
Cu 1.165 3.463 0.000
Cu 3.463 8.091 0.000
Cu 5.793 1.165 0.000
Cu 8.091 5.793 0.000
Ag 1.560 6.189 0.000
Ag 3.068 1.560 0.000
Ag 6.189 7.696 0.000
Ag 7.696 3.068 0.000
Sb 0.000 0.000 0.000
Sb 4.628 4.628 0.000
Pd 0.000 4.628 1.921
Pd 0.711 1.848 1.921
Pd 1.848 8.546 1.921
Pd 2.780 3.918 1.921
Pd 3.918 6.476 1.921
Pd 4.628 0.000 1.921
Pd 5.339 2.780 1.921
Pd 6.476 5.339 1.921
Pd 7.408 0.711 1.921
Pd 8.546 7.408 1.921
```

Summary:
- formation energy (no corrections) (kJ per mole of atoms) = -10


Computed, not measured: an optimized crystal structure of DyYTcPd at the PBE level of DFT.

The structure in extended XYZ format:
```
4
Lattice="0.000 3.459 3.459 3.459 0.000 3.459 3.459 3.459 0.000" Properties=species:S:1:pos:R:3 pbc="T T T"
Dy 0.000 0.000 0.000
Y 3.459 3.459 3.459
Tc 5.189 5.189 5.189
Pd 1.730 1.730 1.730
```

Summary:
- DFT formation energy (eV per atom) = -0.354


Computed, not measured: an optimized crystal structure of ZrRu2Pt at the PBE level of DFT.

The structure in extended XYZ format:
```
4
Lattice="1.412 0.815 9.363 -1.412 0.815 9.363 0.000 -1.630 9.363" Properties=species:S:1:pos:R:3 pbc="T T T"
Zr 0.000 0.000 0.000
Ru 0.000 0.000 6.903
Ru 0.000 0.000 21.186
Pt 0.000 0.000 14.044
```

Summary:
- DFT formation energy (eV per atom) = 0.153


Computed, not measured: an optimized crystal structure of CaCo2As at the PBE level of DFT.

The structure in extended XYZ format:
```
4
Lattice="0.000 2.795 4.050 2.788 0.000 4.050 2.788 2.795 0.000" Properties=species:S:1:pos:R:3 pbc="T T T"
Ca 0.000 0.000 0.000
Co 1.394 1.398 2.025
Co 2.788 2.795 4.050
As 4.183 4.193 6.075
```

Summary:
- DFT formation energy (eV per atom) = 0.171


Computed, not measured: an optimized crystal structure of CdIr2Os2 at the PBE level of DFT.

The structure in extended XYZ format:
```
10
Lattice="7.659 0.000 0.000 0.000 7.659 0.000 0.000 0.000 2.771" Properties=species:S:1:pos:R:3 pbc="T T T"
Cd 0.000 0.000 0.000
Cd 3.830 3.830 0.000
Ir 1.314 2.516 1.385
Ir 2.516 6.346 1.385
Ir 5.143 1.314 1.385
Ir 6.346 5.143 1.385
Os 0.937 4.766 0.000
Os 2.893 0.937 0.000
Os 4.766 6.723 0.000
Os 6.723 2.893 0.000
```

Summary:
- DFT formation energy (eV per atom) = 0.341
- E above lowest polymorph (eV/atom) = 0.000


Computed, not measured: an optimized crystal structure of Er2Zn15Ga2 at the PBE level of DFT.

The structure in extended XYZ format:
```
19
Lattice="4.539 2.620 4.316 -4.539 2.620 4.316 0.000 -5.241 4.316" Properties=species:S:1:pos:R:3 pbc="T T T"
Er 0.000 0.000 2.141
Er 0.000 0.000 10.807
Zn -2.269 -1.310 4.316
Zn 0.000 -2.722 4.181
Zn -2.357 1.361 4.181
Zn -1.413 -2.448 6.474
Zn -2.826 0.000 6.474
Zn -2.357 -1.361 8.768
Zn -2.269 1.310 8.633
Zn 1.413 -2.448 6.474
Zn 0.000 2.620 4.316
Zn -1.413 2.448 6.474
Zn 2.357 1.361 4.181
Zn 2.826 0.000 6.474
Zn 1.413 2.448 6.474
Zn 2.357 -1.361 8.768
Zn 0.000 2.722 8.768
Ga 0.000 0.000 5.191
Ga 0.000 0.000 7.758
```

Summary:
- DFT formation energy (eV per atom) = -0.213


no.,volume (Å³/atom),final energy (eV for the cell shown),size of the total moment (Bohr magnetons per cell)
1,15.6,-57.0,0.0
2,41.1,-14.1,0.0
3,19.0,-56.1,1.0
4,30.5,-36.9,0.0
5,20.2,-30.3,0.0
6,33.0,-37.2,0.0
7,16.5,-90.1,0.0
8,20.7,-28.0,0.0
9,16.2,-32.5,0.0
10,15.8,-20.2,2.5
11,16.3,-78.8,0.0
12,16.2,-38.3,0.0